# 1
Below is Tl6In2Pb after structural relaxation, with properties calculated at the PBE-GGA level.

## Properties
total moment	0.00	μB per atom
formation enthalpy at 0 K	35	meV/atom

abc: 9.6063 9.6063 6.2911
angles: 98.30 98.30 101.61
With the nearest neighbours (Å) after each atom.
Fractional coordinates of all 18 atoms:
Tl 0.0718 0.4157 0.6896  2 In 3.21-3.45, 1 Pb 3.34, 7 Tl 3.36-3.59
Tl 0.1539 0.7538 0.9786  6 Tl 3.32-3.64, 3 In 3.43-3.63, 1 Pb 3.67
Tl 0.2372 0.4497 0.2169  2 Pb 3.35-3.48, 5 Tl 3.40-3.73, 2 In 3.41-3.46
Tl 0.2462 0.8461 0.5214  6 Tl 3.32-3.64, 3 In 3.43-3.63, 1 Pb 3.67
Tl 0.4157 0.0718 0.1896  2 In 3.21-3.45, 1 Pb 3.34, 7 Tl 3.36-3.59
Tl 0.4497 0.2372 0.7169  2 Pb 3.35-3.48, 5 Tl 3.40-3.73, 2 In 3.41-3.46
Tl 0.5503 0.7628 0.2831  2 Pb 3.35-3.48, 5 Tl 3.40-3.73, 2 In 3.41-3.46
Tl 0.5843 0.9282 0.8104  2 In 3.21-3.45, 1 Pb 3.34, 7 Tl 3.36-3.59
Tl 0.7538 0.1539 0.4786  6 Tl 3.32-3.64, 3 In 3.43-3.63, 1 Pb 3.67
Tl 0.7628 0.5503 0.7831  2 Pb 3.35-3.48, 5 Tl 3.40-3.73, 2 In 3.41-3.46
Tl 0.8461 0.2462 0.0214  6 Tl 3.32-3.64, 3 In 3.43-3.63, 1 Pb 3.67
Tl 0.9282 0.5843 0.3104  2 In 3.21-3.45, 1 Pb 3.34, 7 Tl 3.36-3.59
In 0.1129 0.1333 0.3868  3 In 3.09-3.16, 5 Tl 3.21-3.46
In 0.1333 0.1129 0.8868  3 In 3.09-3.16, 5 Tl 3.21-3.46
In 0.8667 0.8871 0.1132  3 In 3.09-3.16, 5 Tl 3.21-3.46
In 0.8871 0.8667 0.6132  3 In 3.09-3.16, 5 Tl 3.21-3.46
Pb 0.4195 0.5805 0.7500  8 Tl 3.34-3.67
Pb 0.5805 0.4195 0.2500  8 Tl 3.34-3.67


# 2
Below is Tb2AlSiAu6 after structural relaxation, with properties calculated at the PBE-GGA level.

## Properties
total DFT energy (no corrections)	-42.99	eV per cell
total moment	0.00	μB per atom

abc: 5.4803 6.6732 6.7160
angles: 74.64 65.92 66.00
With the nearest neighbours (Å) after each atom.
Fractional coordinates of all 10 atoms:
Tb 0.0041 0.2565 0.2352  7 Au 3.07-3.12, 2 Si 3.35-3.36
Tb 0.9959 0.7435 0.7648  7 Au 3.07-3.12, 2 Si 3.35-3.36
Al 0.5000 0.0000 0.5000  6 Au 2.51-2.68
Si 0.5000 0.5000 0.0000  6 Au 2.47-2.75
Au 0.0033 0.3077 0.6827  1 Al 2.68, 3 Au 2.73-3.00, 1 Si 2.75
Au 0.3432 0.9059 0.9097  1 Si 2.47, 1 Al 2.51
Au 0.4959 0.6895 0.3176  1 Al 2.68, 2 Au 2.73-2.75, 1 Si 2.74
Au 0.5041 0.3105 0.6824  1 Al 2.68, 2 Au 2.73-2.75, 1 Si 2.74
Au 0.6568 0.0941 0.0903  1 Si 2.47, 1 Al 2.51
Au 0.9967 0.6923 0.3173  1 Al 2.68, 3 Au 2.73-3.00, 1 Si 2.75


# 3
Below is Na2LiCeI6 after structural relaxation, with properties calculated at the PBE-GGA level.

## Properties
total DFT energy (no corrections)	-32.38	eV per cell
total moment	0.10	μB per atom

abc: 8.5312 8.5312 8.5312
angles: 55.54 55.54 55.54
With the nearest neighbours (Å) after each atom.
Fractional coordinates of all 10 atoms:
Na 0.0000 0.0000 0.0000  6 I 3.22-3.29
Na 0.4969 0.4969 0.4969  6 I 3.19-3.33
Li 0.1942 0.1942 0.1942  6 I 3.01-3.15
Ce 0.6884 0.6884 0.6884  6 I 3.14-3.17
I 0.0778 0.4208 0.8070  1 Ce 3.14, 1 Li 3.15, 2 Na 3.19-3.29
I 0.2958 0.9253 0.5741  1 Li 3.01, 1 Ce 3.17, 2 Na 3.22-3.33
I 0.4207 0.8070 0.0778  1 Ce 3.14, 1 Li 3.15, 2 Na 3.19-3.29
I 0.5741 0.2958 0.9253  1 Li 3.01, 1 Ce 3.17, 2 Na 3.22-3.33
I 0.8070 0.0778 0.4207  1 Ce 3.14, 1 Li 3.15, 2 Na 3.19-3.29
I 0.9253 0.5741 0.2958  1 Li 3.01, 1 Ce 3.17, 2 Na 3.22-3.33


# 4
Below is Re4As6S3 after structural relaxation, with properties calculated at the PBE-GGA level.

## Properties
total DFT energy (no corrections)	-93.85	eV per cell
total moment	0.00	μB per atom

abc: 7.0837 7.0837 7.0837
angles: 59.93 59.93 59.93
With the nearest neighbours (Å) after each atom.
Fractional coordinates of all 13 atoms:
Re 0.0000 0.0000 0.0000  3 S 2.35
Re 0.0017 0.0017 0.6036  2 S 2.33, 1 As 2.49
Re 0.0017 0.6036 0.0017  2 S 2.33, 1 As 2.49
Re 0.6036 0.0017 0.0017  2 S 2.33, 1 As 2.49
As 0.2575 0.2575 0.8328  1 As 2.50, 3 Re 2.65-2.66
As 0.2575 0.8328 0.2575  1 As 2.50, 3 Re 2.65-2.66
As 0.2578 0.2578 0.2578  1 As 2.48, 3 Re 2.64
As 0.4008 0.4008 0.4008  4 As 2.48-2.50
As 0.7601 0.7601 0.7601  3 Re 2.49
As 0.8328 0.2575 0.2575  1 As 2.50, 3 Re 2.65-2.66
S 0.2935 0.7696 0.7696  3 Re 2.33-2.35
S 0.7696 0.2935 0.7696  3 Re 2.33-2.35
S 0.7696 0.7696 0.2935  3 Re 2.33-2.35